Entry 1:
Pm2AlPbO6 PBE optimized geometry; ΔE_f (raw) = -2.4881 eV/atom; uncorrected energy = -7.158 eV/atom
1.0
5.365 0.000 0.000
0.000 5.365 0.000
0.000 0.000 5.234
Pm Al Pb O
2 1 1 6
direct
0.000 0.500 0.000 Pm
0.500 0.000 0.000 Pm
0.000 0.000 0.603 Al
0.500 0.500 0.553 Pb
0.000 0.000 0.259 O
0.231 0.231 0.740 O
0.231 0.769 0.740 O
0.500 0.500 0.126 O
0.769 0.231 0.740 O
0.769 0.769 0.740 O

---

Entry 2:
AlPtPbO6 PBE optimized geometry; ΔE_f (raw) = -1.2469 eV/atom; uncorrected energy = -6.051 eV/atom
1.0
5.131 0.000 0.000
-2.565 4.443 0.000
0.000 0.000 9.266
Al Pt Pb O
2 2 2 12
direct
0.333 0.667 0.250 Al
0.667 0.333 0.750 Al
0.333 0.667 0.750 Pt
0.667 0.333 0.250 Pt
0.000 0.000 0.000 Pb
0.000 0.000 0.500 Pb
0.012 0.368 0.136 O
0.012 0.644 0.364 O
0.356 0.368 0.364 O
0.356 0.988 0.136 O
0.368 0.012 0.636 O
0.368 0.356 0.864 O
0.632 0.644 0.136 O
0.632 0.988 0.364 O
0.644 0.012 0.864 O
0.644 0.632 0.636 O
0.988 0.356 0.636 O
0.988 0.632 0.864 O

---

Entry 3:
PuAl2PbO8 PBE optimized geometry; ΔE_f (raw) = -2.1581 eV/atom; uncorrected energy = -7.591 eV/atom
1.0
3.297 -3.361 0.000
3.297 3.361 0.000
0.000 0.000 6.346
Pu Al Pb O
1 2 1 8
direct
0.000 0.000 0.000 Pu
0.500 0.500 0.255 Al
0.500 0.500 0.745 Al
0.000 0.000 0.500 Pb
0.216 0.784 0.235 O
0.216 0.784 0.765 O
0.314 0.314 0.000 O
0.323 0.323 0.500 O
0.677 0.677 0.500 O
0.686 0.686 0.000 O
0.784 0.216 0.235 O
0.784 0.216 0.765 O

---

Entry 4:
Rb2AlPbO4 PBE optimized geometry; ΔE_f (raw) = -1.6181 eV/atom; uncorrected energy = -5.271 eV/atom
1.0
0.000 6.521 9.790
2.880 0.000 9.790
2.880 6.521 0.000
Rb Al Pb O
4 2 2 8
direct
0.054 0.054 0.696 Rb
0.304 0.304 0.946 Rb
0.696 0.696 0.054 Rb
0.946 0.946 0.304 Rb
0.125 0.125 0.125 Al
0.875 0.875 0.875 Al
0.375 0.375 0.375 Pb
0.625 0.625 0.625 Pb
0.060 0.286 0.351 O
0.198 0.649 0.714 O
0.286 0.060 0.802 O
0.351 0.802 0.060 O
0.649 0.198 0.940 O
0.714 0.940 0.198 O
0.802 0.351 0.286 O
0.940 0.714 0.649 O